A relaxed structure of AcPrCd. Source: Alexandria via LeMat-Bulk, functional GGA-PBE.

Crystal system: tetragonal
Calculated density (Mg/m³): 7.65
Density of states at the Fermi level (states/eV/cell): 4.133
V (Å³ per cell): 104.3
Energy of formation from the pure elements (eV per atom): -0.19
Offset from the most stable computed form (meV/atom): 0

```
AcPrCd
1.0
3.960 0.000 0.000
0.000 3.960 0.000
-1.980 -1.980 6.654
Pr Ac Cd
1 1 1
Direct
0.596 0.596 0.192 Pr
0.295 0.295 0.589 Ac
0.959 0.959 0.919 Cd
```

A relaxed structure of Rb2MoBr7. Source: Alexandria via LeMat-Bulk, functional GGA-PBE.

Crystal system: monoclinic
Calculated density (Mg/m³): 3.74
Density of states at the Fermi level (states/eV/cell): 18.005
V (Å³ per cell): 733.6
Offset from the most stable computed form (meV/atom): 0
Formation energy (no corrections) (eV per atom): -0.89

```
Rb2MoBr7
1.0
7.168 0.000 3.496
3.248 10.205 2.438
-0.327 -1.210 9.768
Rb Mo Br
4 2 14
Direct
0.594 0.954 0.707 Rb
0.744 0.454 0.207 Rb
0.256 0.546 0.793 Rb
0.406 0.046 0.293 Rb
0.978 0.250 0.750 Mo
0.022 0.750 0.250 Mo
0.814 0.494 0.830 Br
0.862 0.994 0.330 Br
0.232 0.811 0.985 Br
0.323 0.273 0.576 Br
0.647 0.250 0.750 Br
0.972 0.311 0.485 Br
0.172 0.227 0.924 Br
0.828 0.773 0.076 Br
0.028 0.689 0.515 Br
0.353 0.750 0.250 Br
0.677 0.727 0.424 Br
0.768 0.189 0.015 Br
0.138 0.006 0.670 Br
0.186 0.506 0.170 Br
```

Question: Which of these has the lowest density of states at the Fermi level?
Answer: AcPrCd

Question: Which value of calculated density does entry 2 give?
Answer: 3.74 Mg/m³